Density functional theory data (PBE) for a relaxed Au3C crystal.

a b c (Å): 3.1141 3.1141 7.5356
angles (deg): 90.00 90.00 120.00
Element x y z (fractional)
1 Au 0.0000 0.0000 0.5540
2 Au 0.0000 0.0000 0.9460
3 Au 0.6667 0.3333 0.2500
4 C 0.6667 0.3333 0.7500

Calculated values
The value obtained for the energy of formation is 1.10 eV/atom. For the offset from the most stable computed form, the calculation gives 0.5439 eV per atom. The space-group type is P-6m2. As for the uncorrected energy: -3.661 eV/atom.



Density functional theory data (PBE) for a relaxed LiSb2TeAs crystal.

a b c (Å): 4.9191 4.9191 5.1474
angles (deg): 90.00 90.00 90.00
Element x y z (fractional)
1 Te 0.0000 0.0000 0.5000
2 Sb 0.0000 0.5000 0.0000
3 Sb 0.5000 0.0000 0.0000
4 As 0.5000 0.5000 0.5000
5 Li 0.0000 0.0000 0.0000

Calculated values
For the offset from the most stable computed form, the calculation gives 0.0826 eV per atom. The space-group type is P4/mmm. As for the uncorrected energy: -3.120 eV/atom. The formation energy (no corrections) comes out at 470 meV/atom.



Density functional theory data (PBE) for a relaxed BeIrBr crystal.

a b c (Å): 3.5315 3.5315 9.9936
angles (deg): 90.00 90.00 120.00
Element x y z (fractional)
1 Ir 0.0000 0.0000 0.5000
2 Ir 0.0000 0.0000 0.0000
3 Br 0.0000 0.0000 0.7500
4 Br 0.0000 0.0000 0.2500
5 Be 0.3333 0.6667 0.2500
6 Be 0.6667 0.3333 0.7500

Calculated values
For the offset from the most stable computed form, the calculation gives 1.8237 eV per atom. The space-group type is P6_3/mmc. As for the uncorrected energy: -3.230 eV/atom. The formation energy (no corrections) comes out at 1523 meV/atom.



Density functional theory data (PBE) for a relaxed Li3B8C8 crystal.

a b c (Å): 4.6004 5.4391 7.4634
angles (deg): 90.00 91.73 90.00
Element x y z (fractional)
1 C 0.1782 0.2503 0.7373
2 C 0.1838 0.7499 0.7308
3 C 0.6832 0.5011 0.7590
4 C 0.8162 0.7499 0.2692
5 C 0.3195 0.9986 0.2364
6 C 0.8218 0.2503 0.2627
7 C 0.6805 0.9986 0.7636
8 C 0.3168 0.5011 0.2410
9 Li 0.5000 0.7432 0.0000
10 Li 0.5000 0.7761 0.5000
11 Li 0.0000 0.4794 0.5000
12 B 0.6602 0.4980 0.2647
13 B 0.3368 0.0028 0.7387
14 B 0.1567 0.7506 0.2391
15 B 0.1620 0.2492 0.2352
16 B 0.6632 0.0028 0.2613
17 B 0.8433 0.7506 0.7609
18 B 0.8380 0.2492 0.7648
19 B 0.3398 0.4980 0.7353

Calculated values
The value obtained for the energy of formation is 0.09 eV/atom. For the offset from the most stable computed form, the calculation gives 0.0862 eV per atom. The space-group type is P2. As for the uncorrected energy: -6.905 eV/atom.



no.,size of the total moment (μB per cell)
1,0.00
2,0.00
3,0.00
4,0.00